! Ga4Cu | Alexandria | PBE | relaxed; values from VASP
&SYSTEM
  ibrav = 0, nat = 5, ntyp = 2
/
ATOMIC_SPECIES
Ga 69.72 Ga.upf
Cu 63.55 Cu.upf
CELL_PARAMETERS angstrom
4.7109 0.0000 0.0000
0.0000 4.7109 0.0000
0.0000 0.0000 4.7109
ATOMIC_POSITIONS crystal
Ga 0.0000 0.5000 0.5000
Cu 0.5000 0.5000 0.5000
Ga 0.5000 0.0000 0.5000
Ga 0.5000 0.5000 0.0000
Ga 0.0000 0.0000 0.0000
! Space group: Pm-3m (221)
! Polymorph energy (0 for the lowest one), eV/atom: 0.216

=====

! Ga4Cu3 | Alexandria | PBE | relaxed; values from VASP
&SYSTEM
  ibrav = 0, nat = 7, ntyp = 2
/
ATOMIC_SPECIES
Cu 63.55 Cu.upf
Ga 69.72 Ga.upf
CELL_PARAMETERS angstrom
3.8565 0.0000 0.0000
0.0000 5.0243 -0.1641
-1.9283 -1.7324 5.6983
ATOMIC_POSITIONS crystal
Cu 0.2112 0.3302 0.4224
Ga 0.5659 0.3407 0.1319
Ga 0.8309 0.1957 0.6619
Ga 0.1691 0.8043 0.3381
Ga 0.4341 0.6593 0.8681
Cu 0.0000 0.0000 0.0000
Cu 0.7888 0.6698 0.5776
! Space group: C2/m (12)

=====

no.,DFT total energy (eV for the cell shown),calculated formation energy (eV/atom),V (Å³/cell)
1,-15.275,0.1858,104.6
2,-24.872,-0.0679,109.3